(1)
DFT (PBE) results for an optimized crystal structure of Dy2Er3Mg3.

Geometry as extended XYZ:
```
8
Lattice="-0.5944 2.3976 -2.8006 -3.7420 -3.2988 -2.0299 -5.6358 5.5811 8.4641" Properties=species:S:1:pos:R:3 pbc="T T T"
Dy -3.9605 3.6071 1.4391
Dy -6.0118 1.0728 2.1945
Er -4.1235 0.8349 -0.8997
Er -5.8488 3.8451 4.5334
Er -0.2972 1.1988 -1.4003
Mg -1.8092 1.1894 1.4023
Mg -1.8710 -1.6494 -1.0150
Mg -8.1631 3.4906 2.2314
```

Computed properties:
For the total magnetization, the calculation gives 0.0 Bohr magnetons per cell. For the formation energy, the calculation gives -4.81 kJ/mol of atoms.

=====

(2)
DFT (PBE) results for an optimized crystal structure of Dy2ScSi2.

Geometry as extended XYZ:
```
10
Lattice="4.2095 0.0000 0.0000 2.1048 5.8939 0.0864 2.1048 1.0248 9.1194" Properties=species:S:1:pos:R:3 pbc="T T T"
Dy 2.1048 1.6807 0.8965
Dy 4.2095 2.7287 6.2940
Dy 6.3143 5.2380 8.3093
Dy 4.2095 4.1900 2.9118
Sc 4.2095 0.8500 3.3892
Sc 4.2095 6.0687 5.8166
Si 6.3143 1.6907 8.1187
Si 2.1048 2.3707 4.0469
Si 2.1048 5.2280 1.0871
Si 6.3143 4.5480 5.1588
```

Computed properties:
Its formation energy without anion corrections is -0.704 eV/atom. For the total magnetization, the calculation gives 0.0 Bohr magnetons per cell.

=====

(3)
DFT (PBE) results for an optimized crystal structure of ScOs3Rh.

Geometry as extended XYZ:
```
5
Lattice="4.6723 0.0000 0.0000 0.0000 4.6723 0.0000 0.0000 0.0000 4.6723" Properties=species:S:1:pos:R:3 pbc="T T T"
Sc 2.3361 2.3361 2.3361
Rh 0.0000 0.0000 0.0000
Os 0.0000 2.3361 0.0000
Os 0.0000 0.0000 2.3361
Os 2.3361 0.0000 0.0000
```

Computed properties:
For the total magnetization, the calculation gives 0.0 Bohr magnetons per cell. For the formation energy, the calculation gives 171.57 kJ/mol of atoms.

=====

(4)
DFT (PBE) results for an optimized crystal structure of Tl3InO.

Geometry as extended XYZ:
```
5
Lattice="-3.3968 -3.7988 0.7509 3.2700 -2.2790 3.2630 -2.0742 2.6284 3.9144" Properties=species:S:1:pos:R:3 pbc="T T T"
Tl 1.6350 -1.1395 1.6315
Tl -1.0371 1.3142 1.9572
Tl -1.6984 -1.8994 0.3754
O 0.0000 0.0000 0.0000
In -1.1005 -1.7247 3.9641
```

Computed properties:
Its formation energy without anion corrections is -0.096 eV/atom. For the total magnetization, the calculation gives 0.0 Bohr magnetons per cell.

=====

(5)
DFT (PBE) results for an optimized crystal structure of AlSnW2.

Geometry as extended XYZ:
```
8
Lattice="-3.2586 1.3003 -1.7786 -2.1656 -2.4749 2.1582 -3.7191 6.2828 7.0574" Properties=species:S:1:pos:R:3 pbc="T T T"
Sn 0.0000 0.0000 0.0000
Sn -4.8449 3.4979 2.7343
W -3.1126 2.0244 0.9904
W -2.8151 0.2361 2.8230
W -4.9061 4.1771 5.5178
W -7.4528 3.7789 5.5427
Al -2.7121 -0.5873 0.1898
Al -4.2984 1.6103 4.7027
```

Computed properties:
For the total magnetization, the calculation gives 0.0 Bohr magnetons per cell. For the formation energy, the calculation gives 61.71 kJ/mol of atoms.

=====

(6)
DFT (PBE) results for an optimized crystal structure of Ba2BiRhO6.

Geometry as extended XYZ:
```
10
Lattice="-3.9923 3.4741 0.6847 -2.8879 -2.4616 -4.3482 0.6492 -3.6511 5.4657" Properties=species:S:1:pos:R:3 pbc="T T T"
Ba -1.2277 -1.5499 1.6928
Ba -5.0032 -1.0887 0.1094
Bi -1.4439 -1.2308 -2.1741
Rh -1.9961 1.7370 0.3424
O -2.7447 -2.1610 -0.7835
O -0.8031 -2.8256 4.1692
O -3.8925 1.4957 -0.0553
O -2.3385 -4.1343 1.8575
O -5.4278 0.1870 -2.3670
O -3.4862 -0.4776 2.5858
```

Computed properties:
Its formation energy without anion corrections is -1.573 eV/atom. For the total magnetization, the calculation gives 2.0 Bohr magnetons per cell.

=====

(7)
DFT (PBE) results for an optimized crystal structure of Ba12Pd5Pb3.

Geometry as extended XYZ:
```
80
Lattice="-7.3153 7.9842 -13.0649 -6.3048 -15.7022 1.2810 -3.1377 8.5411 14.3233" Properties=species:S:1:pos:R:3 pbc="T T T"
Pb -8.2430 1.1675 -7.5279
Pb -11.5217 -3.7229 -8.6806
Pb -9.4329 -3.4444 5.0135
Pb -3.7936 3.2362 2.2651
Pb -7.9734 7.1587 -7.6908
Pb -7.4682 -4.6845 -0.5179
Pb -9.2897 5.5076 3.0573
Pb -8.7844 -6.3356 10.2302
Pb -12.9643 -2.4131 0.2742
Pb -7.3249 4.2675 -2.4741
Pb -5.2361 4.5459 11.2200
Pb -8.5149 -0.3444 10.0673
Pd -4.0632 -2.7550 2.4281
Pd -3.1524 -7.8511 0.6405
Pd 0.0000 0.0000 0.0000
Pd -4.7117 0.1362 -2.7887
Pd -5.2265 8.2627 0.6292
Pd -6.8101 -3.8590 -5.8919
Pd -6.8197 -7.5757 4.6989
Pd -9.0201 11.4989 2.8943
Pd -10.6037 -0.6228 -3.6268
Pd -5.8846 7.4371 6.0032
Pd -10.8732 -6.6141 -3.4639
Pd -8.3789 0.4115 1.2697
Pd -3.6577 3.9921 -6.5324
Pd -1.5689 4.2706 7.1616
Pd -6.1542 1.4459 6.1662
Pd -7.7378 -10.6758 -0.3549
Pd -4.7213 -3.5806 7.8021
Pd -9.9382 8.3988 -2.1595
Pd -12.0462 0.6869 5.3281
Pd -12.6947 3.5781 0.1113
Ba -6.1392 4.0073 -8.6227
Ba -7.0410 -2.3510 2.3214
Ba -10.2907 4.2904 -7.9952
Ba -5.6746 2.0308 -4.9160
Ba -10.9019 -0.7497 2.9470
Ba -11.3191 -0.0809 -9.3008
Ba -8.6302 -6.2280 2.7119
Ba -6.8281 -12.5454 1.8175
Ba -12.5118 -4.6294 3.2022
Ba -9.4621 -1.9961 -6.0462
Ba -9.8418 2.1940 -4.3530
Ba -11.8779 -7.3853 -9.0670
Ba -7.1163 -5.5923 6.9395
Ba -5.5739 -2.7262 -3.1142
Ba -7.5284 -10.4176 5.3799
Ba -5.6895 6.3478 3.2072
Ba -2.4053 -0.2604 2.1619
Ba -7.9325 -6.1476 -3.8844
Ba -12.6922 -5.3311 -5.4857
Ba -3.8309 -4.7149 0.1593
Ba -11.2629 -5.4263 7.6379
Ba -9.5775 -1.6014 -0.9750
Ba -13.5332 -1.0878 -3.1330
Ba -10.6668 9.0057 3.2337
Ba -7.1803 2.4245 3.5144
Ba -3.2247 1.9109 5.6724
Ba -6.0911 -8.1826 -0.6943
Ba -4.0657 6.1542 8.0251
Ba -5.4950 6.2494 -5.0985
Ba -12.9270 5.5380 2.3801
Ba -8.8254 6.9707 6.4238
Ba -11.0684 -5.5247 -0.6679
Ba -14.3525 1.0835 0.3774
Ba -9.2295 11.2407 -2.8406
Ba -9.6415 6.4154 -4.4001
Ba -4.8800 8.2084 11.6064
Ba -11.1840 3.5493 5.6535
Ba -4.2461 5.4525 -0.6628
Ba -7.2958 2.8192 8.5856
Ba -6.9161 -1.3709 6.8924
Ba -9.9298 13.3685 0.7219
Ba -8.1277 7.0510 -0.1725
Ba -11.0833 -1.2077 7.4554
Ba -5.4388 0.9040 11.8402
Ba -5.8559 1.5728 -0.4076
Ba -6.4672 -3.4673 10.5346
Ba -9.7168 3.1740 0.2180
Ba -10.6187 -3.1842 11.1621
```

Computed properties:
For the total magnetization, the calculation gives 0.0 Bohr magnetons per cell. For the formation energy, the calculation gives -35.36 kJ/mol of atoms.

=====

(8)
DFT (PBE) results for an optimized crystal structure of Ca2CdInNi.

Geometry as extended XYZ:
```
5
Lattice="-4.4564 0.4344 -2.9034 -0.9235 -5.2173 0.6369 -2.5766 0.9563 4.0978" Properties=species:S:1:pos:R:3 pbc="T T T"
Ni 0.0000 0.0000 0.0000
Ca -0.4618 -2.6086 0.3185
Ca -2.2282 0.2172 -1.4517
Cd -3.9783 -1.9133 0.9157
In -1.2883 0.4782 2.0489
```

Computed properties:
For the total magnetization, the calculation gives 0.0 Bohr magnetons per cell. For the formation energy, the calculation gives -18.77 kJ/mol of atoms.

=====

What is the formula in the seventh record? Ba12Pd5Pb3